4
Lattice="6.387 -0.020 0.000 1.222 6.269 0.000 -3.804 -3.125 4.069" Properties=species:S:1:pos:R:3 comment="Ba2ScCl | the Alexandria database | GGA-PBE | relaxed" raw_formation_energy_kcal_per_mol_atoms=-2.55 e_above_lowest_polymorph_kj_per_mol_fu=194.6 sg="No. 139" crystal_system=tetragonal pbc="T T T"
Cl 0.611 3.135 2.034
Ba 0.000 0.000 0.000
Ba 3.804 3.125 0.000
Sc 3.193 -0.010 2.034

4
Lattice="6.923 -0.040 -0.024 5.920 3.589 -0.024 5.920 1.636 3.195" Properties=species:S:1:pos:R:3 comment="Zr2SiIr | the Alexandria database | GGA-PBE | relaxed" raw_formation_energy_kcal_per_mol_atoms=-9.89 sg="No. 166" crystal_system=trigonal pbc="T T T"
Zr 18.757 5.184 3.145
Zr 9.386 2.594 1.574
Si 14.072 3.889 2.360
Ir 4.691 1.296 0.787

8
Lattice="6.293 0.000 0.000 0.000 6.293 0.000 3.146 3.146 5.062" Properties=species:S:1:pos:R:3 comment="GaWS2 | the Alexandria database | GGA-PBE | relaxed" raw_formation_energy_kcal_per_mol_atoms=2.01 sg="No. 122" crystal_system=tetragonal pbc="T T T"
W 6.293 3.146 2.531
W 0.000 0.000 0.000
Ga 3.146 3.146 0.000
Ga 3.146 6.293 2.531
S 1.066 4.719 1.266
S 5.226 1.573 1.266
S 4.719 4.213 3.797
S 7.866 8.373 3.797

12
Lattice="7.180 -0.001 0.000 -3.589 6.218 0.000 -1.198 -2.075 8.312" Properties=species:S:1:pos:R:3 comment="Cs3TbSc2Se6 | the Alexandria database | GGA-PBE | relaxed" raw_formation_energy_kcal_per_mol_atoms=-37.29 sg="No. 12" crystal_system=monoclinic pbc="T T T"
Cs 4.815 -0.019 4.156
Cs 1.196 2.072 4.156
Cs -2.422 4.162 4.156
Se 3.636 1.991 6.814
Se 2.485 -0.001 1.498
Se 0.045 0.078 6.824
Se 2.348 4.065 1.488
Se -1.243 2.152 1.498
Se -0.093 4.144 6.814
Tb 0.000 0.000 0.000
Sc -0.001 4.146 0.000
Sc 3.592 2.071 0.000

8
Lattice="-1.650 2.768 2.515 -1.669 -3.005 2.212 4.053 -0.347 6.364" Properties=species:S:1:pos:R:3 comment="NbCo2S | the Alexandria database | GGA-PBE | relaxed" raw_formation_energy_kcal_per_mol_atoms=2.52 sg="No. 122" crystal_system=tetragonal pbc="T T T"
S 0.362 -1.736 5.470
S -1.660 -0.119 2.364
Co 0.283 -0.203 8.714
Co -0.081 1.023 3.218
Co -0.382 -1.375 3.510
Co 1.648 -0.615 6.741
Nb 0.000 0.000 0.000
Nb 0.372 1.151 5.622

12
Lattice="-2.486 3.301 3.364 -4.887 -5.624 1.907 1.288 -3.472 8.574" Properties=species:S:1:pos:R:3 comment="La6InAu5 | the Alexandria database | GGA-PBE | relaxed" formation_energy_ev_per_atom=-0.7280 sg="No. 71" crystal_system=orthorhombic pbc="T T T"
Au -2.443 -2.812 0.954
Au -1.445 -1.131 8.475
Au -4.640 -4.663 5.370
Au -4.078 -3.854 9.199
Au -2.006 -1.940 4.646
La -2.544 0.152 2.191
La -1.668 -4.110 7.015
La -4.417 -1.685 6.830
La -3.540 -5.947 11.655
La -4.067 -6.871 7.951
La -2.017 1.076 5.894
In 0.000 0.000 0.000

Number 1: calculated volume 163.0 Å³/cell. Number 2: calculated volume 80.7 Å³/cell. Number 3: calculated volume 200.4 Å³/cell. Number 4: calculated volume 371.1 Å³/cell. Number 5: calculated volume 116.6 Å³/cell. Number 6: calculated volume 331.2 Å³/cell.